A relaxed structure of CdIr4Br, computed with GGA-PBE.

Raw formation energy (meV per atom): 879
DOS at the Fermi energy (states/eV/cell): 12.12

```
CdIr4Br
1.0
0.000 3.780 3.780
3.780 0.000 3.780
3.780 3.780 0.000
Cd Ir Br
1 4 1
Direct
0.000 0.000 0.000 Cd
0.625 0.625 0.125 Ir
0.125 0.625 0.625 Ir
0.625 0.625 0.625 Ir
0.625 0.125 0.625 Ir
0.250 0.250 0.250 Br
```